Below is a geometry-optimized CoAsBr structure, with properties calculated at the PBEsol level.

extended XYZ file:
```
3
Lattice="4.3588 0.0000 0.0000 2.1794 3.7748 0.0000 2.1794 1.2583 3.5589" Properties=species:S:1:pos:R:3 pbc="T T T"
As 4.3588 2.5165 1.7795
Co 0.0000 0.0000 0.0000
Br 2.1794 1.2583 0.8897
```

Output
Its space group is No. 216. The calculation puts the total magnetization at 0.40 μB/atom. The value obtained for the total energy is -3.649 eV per atom. The density comes out at 6.062 g cm⁻³.

=====

Below is a geometry-optimized Co2AsBr structure, with properties calculated at the PBEsol level.

extended XYZ file:
```
4
Lattice="2.9409 0.0000 0.0000 0.0000 3.7520 0.0000 0.0000 0.0000 5.5765" Properties=species:S:1:pos:R:3 pbc="T T T"
As 1.4705 1.8760 0.0000
Co 0.0000 0.0000 0.0000
Co 1.4705 0.0000 2.7883
Br 0.0000 1.8760 2.7883
```

Output
Its space group is No. 47. The polymorph energy (0 for the lowest one) is 558 meV per atom. The calculation puts the total magnetization at 0.50 μB/atom. The density comes out at 7.359 g cm⁻³.

=====

Below is a geometry-optimized Co2AsBr structure, with properties calculated at the PBEsol level.

extended XYZ file:
```
4
Lattice="3.6063 0.0000 0.0670 0.0000 3.6079 0.0000 -0.1082 0.0000 5.3901" Properties=species:S:1:pos:R:3 pbc="T T T"
As 2.2144 0.0000 2.1300
Co 0.4370 0.0000 0.7065
Co 2.2398 1.8039 0.7405
Br 0.3559 1.8039 4.6085
```

Output
Its space group is No. 6. The polymorph energy (0 for the lowest one) is 0 meV per atom. The calculation puts the total magnetization at 0.18 μB/atom. The density comes out at 6.454 g cm⁻³.

=====

Below is a geometry-optimized CoAsBr2F structure, with properties calculated at the PBEsol level.

extended XYZ file:
```
5
Lattice="-0.6298 0.6036 -3.6887 0.8620 -5.1551 -0.9907 -5.1745 -1.0035 0.7193" Properties=species:S:1:pos:R:3 pbc="T T T"
As -0.3149 0.3018 -1.8443
Co -2.4711 -2.7775 -1.9800
Br -2.5872 -0.5018 0.3596
Br 0.4310 -2.5775 -0.4954
F 0.0000 0.0000 0.0000
```

Output
Its space group is No. 123. The polymorph energy (0 for the lowest one) is 431 meV per atom. The calculation puts the total magnetization at 0.41 μB/atom. The density comes out at 4.840 g cm⁻³.

=====

Below is a geometry-optimized CoAsBr2F structure, with properties calculated at the PBEsol level.

extended XYZ file:
```
5
Lattice="-3.3951 0.5616 2.7448 2.2614 -2.5256 3.3139 1.9977 3.9661 1.6594" Properties=species:S:1:pos:R:3 pbc="T T T"
As -1.6975 0.2808 1.3724
Co 0.0000 0.0000 0.0000
Br 0.9988 1.9830 0.8297
Br 1.1307 -1.2628 1.6569
F 0.4320 1.0011 3.8591
```

Output
Its space group is No. 123. The polymorph energy (0 for the lowest one) is 0 meV per atom. The calculation puts the total magnetization at 0.17 μB/atom. The density comes out at 5.248 g cm⁻³.

=====

Below is a geometry-optimized GaCoAsBr2 structure, with properties calculated at the PBEsol level.

extended XYZ file:
```
5
Lattice="4.9960 0.0000 0.0000 0.0000 4.9916 0.0000 0.0000 0.0000 4.9916" Properties=species:S:1:pos:R:3 pbc="T T T"
As 2.4980 0.0000 0.0000
Co 2.4980 2.4958 2.4958
Ga 0.0000 0.0000 0.0000
Br 0.0000 0.0000 2.4958
Br 0.0000 2.4958 0.0000
```

Output
Its space group is No. 123. The calculation puts the total magnetization at 0.52 μB/atom. The value obtained for the total energy is -3.150 eV per atom. The density comes out at 4.848 g cm⁻³.

=====

Below is a geometry-optimized HfCoAs2Br structure, with properties calculated at the PBEsol level.

extended XYZ file:
```
5
Lattice="4.4915 0.0000 0.0000 0.0000 4.4915 0.0000 0.0000 0.0000 4.7146" Properties=species:S:1:pos:R:3 pbc="T T T"
Co 0.0000 0.0000 0.0000
As 0.0000 2.2457 0.0000
As 2.2457 0.0000 0.0000
Hf 2.2457 2.2457 2.3573
Br 0.0000 0.0000 2.3573
```

Output
Its space group is No. 123. The calculation puts the total magnetization at 0.00 μB/atom. The value obtained for the total energy is -5.746 eV per atom. The density comes out at 8.157 g cm⁻³.

=====

Below is a geometry-optimized CoNiAsBr2 structure, with properties calculated at the PBEsol level.

extended XYZ file:
```
5
Lattice="-1.2701 -3.2005 2.6242 3.1378 1.5208 3.3735 -3.4157 2.8916 1.8735" Properties=species:S:1:pos:R:3 pbc="T T T"
Ni -0.7740 0.6059 3.9356
As -0.6350 -1.6003 1.3121
Co 0.0000 0.0000 0.0000
Br -1.7079 1.4458 0.9367
Br 1.5689 0.7604 1.6867
```

Output
Its space group is No. 123. The calculation puts the total magnetization at 0.17 μB/atom. The value obtained for the total energy is -3.824 eV per atom. The density comes out at 5.742 g cm⁻³.

=====

Below is a geometry-optimized CoAs2PbBr structure, with properties calculated at the PBEsol level.

extended XYZ file:
```
5
Lattice="-1.0958 5.1375 -0.8916 -5.1920 -1.1592 -0.2985 -0.5004 0.8386 5.4468" Properties=species:S:1:pos:R:3 pbc="T T T"
Pb 0.0000 0.0000 0.0000
As -2.5960 -0.5796 -0.1492
As -0.5479 2.5687 -0.4458
Co -3.3941 2.4084 2.1284
Br -0.2502 0.4193 2.7234
```

Output
Its space group is No. 123. The calculation puts the total magnetization at 0.69 μB/atom. The value obtained for the total energy is -3.303 eV per atom. The density comes out at 5.242 g cm⁻³.

=====

Below is a geometry-optimized CoAsPdBr2 structure, with properties calculated at the PBEsol level.

extended XYZ file:
```
5
Lattice="-2.4948 -3.9850 -1.0295 4.2591 -2.3651 -1.1658 0.4594 -1.5153 4.7524" Properties=species:S:1:pos:R:3 pbc="T T T"
As -1.2474 -1.9925 -0.5148
Co 1.1118 -3.9328 1.2785
Br 0.2297 -0.7577 2.3762
Br 2.1295 -1.1826 -0.5829
Pd 0.0000 0.0000 0.0000
```

Output
Its space group is No. 123. The calculation puts the total magnetization at 0.44 μB/atom. The value obtained for the total energy is -3.629 eV per atom. The density comes out at 5.501 g cm⁻³.

=====

Below is a geometry-optimized RbCoAsBr2 structure, with properties calculated at the PBEsol level.

extended XYZ file:
```
5
Lattice="-2.5754 2.7169 -2.2187 -1.1629 -3.8864 -3.4091 -4.1099 -1.4247 3.0261" Properties=species:S:1:pos:R:3 pbc="T T T"
As -1.2877 1.3584 -1.1093
Co 0.0000 0.0000 0.0000
Br -2.0550 -0.7124 1.5130
Br -0.5814 -1.9432 -1.7046
Rb -3.9241 -1.2971 -1.3009
```

Output
Its space group is No. 123. The calculation puts the total magnetization at 0.00 μB/atom. The value obtained for the total energy is -3.957 eV per atom. The density comes out at 5.152 g cm⁻³.

=====

Below is a geometry-optimized CoAs2SBr structure, with properties calculated at the PBEsol level.

extended XYZ file:
```
5
Lattice="-0.4023 0.4981 4.4733 -1.0205 -4.3843 0.3964 4.5209 -1.0054 0.5185" Properties=species:S:1:pos:R:3 pbc="T T T"
As -0.5102 -2.1921 0.1982
As -0.2011 0.2491 2.2366
Co 0.0000 0.0000 0.0000
S 1.5491 -2.4458 2.6941
Br 2.2605 -0.5027 0.2593
```

Output
Its space group is No. 123. The calculation puts the total magnetization at 0.00 μB/atom. The value obtained for the total energy is -4.342 eV per atom. The density comes out at 5.597 g cm⁻³.